First-principles (PBE-GGA) data for a relaxed structure of LiCo2Ge, as listed in OQMD.

Cell and atoms, written as CIF:
```
data_LiCo2Ge
_cell_length_a 4.0101
_cell_length_b 4.0101
_cell_length_c 7.2036
_cell_angle_alpha 90.00
_cell_angle_beta 90.00
_cell_angle_gamma 120.00
_space_group_name_H-M_alt 'P 63/m m c'
_space_group_IT_number 194
_space_group_name_Hall '-P 6c 2c'
loop_
_atom_site_label
_atom_site_fract_x
_atom_site_fract_y
_atom_site_fract_z
_atom_site_occupancy
Li1 0.3333 0.6667 0.2500 1
Co1 0.3333 0.6667 0.5887 1
Ge1 0.0000 0.0000 0.0000 1
```


First-principles (PBE-GGA) data for a relaxed structure of K2LiZrF6, as listed in OQMD.

Cell and atoms, written as CIF:
```
data_K2LiZrF6
_cell_length_a 5.661
_cell_length_b 5.661
_cell_length_c 8.409
_cell_angle_alpha 90.00
_cell_angle_beta 90.00
_cell_angle_gamma 90.00
_space_group_name_H-M_alt 'I 4/m'
_space_group_IT_number 87
_space_group_name_Hall '-I 4'
loop_
_atom_site_label
_atom_site_fract_x
_atom_site_fract_y
_atom_site_fract_z
_atom_site_occupancy
K1 0.000 0.500 0.250 1
Li1 0.000 0.000 0.000 1
Zr1 0.000 0.000 0.500 1
F1 0.000 0.000 0.244 1
F2 0.199 0.284 0.000 1
```


| no. | total DFT energy (no corrections) (eV/atom) |
| --- | --- |
| 1 | -5.21 |
| 2 | -5.39 |